Computed, not measured: a relaxed Li4H4Rh crystal at the PBE level of DFT.

Calculated values
Its total energy is -32.23 eV/cell. As for the crystal system: triclinic.

The structure in CIF format:
```
data_Li4H4Rh
_chemical_formula_sum 'Li4 H4 Rh1'
_symmetry_space_group_name_H-M 'P 1'
_symmetry_Int_Tables_number 1
_cell_length_a 4.0215
_cell_length_b 4.8620
_cell_length_c 4.8560
_cell_angle_alpha 80.19
_cell_angle_beta 65.65
_cell_angle_gamma 65.49
loop_
_symmetry_equiv_pos_as_xyz
'x,y,z'
loop_
_atom_site_label
_atom_site_type_symbol
_atom_site_fract_x
_atom_site_fract_y
_atom_site_fract_z
Li1 Li 0.3884 0.3945 0.8289
Li2 Li 0.2167 0.1713 0.3946
Li3 Li 0.6116 0.6055 0.1711
Li4 Li 0.7833 0.8287 0.6054
H1 H 0.7320 0.1995 0.3344
H2 H 0.2680 0.8005 0.6656
H3 H 0.9325 0.3345 0.8008
H4 H 0.0675 0.6655 0.1992
Rh1 Rh 0.0000 0.0000 0.0000
```

Computed, not measured: a relaxed LiH3Rh crystal at the PBE level of DFT.

Calculated values
Its total energy is -19.34 eV/cell. As for the crystal system: trigonal.

The structure in CIF format:
```
data_LiH3Rh
_chemical_formula_sum 'Li1 H3 Rh1'
_symmetry_space_group_name_H-M 'P 1'
_symmetry_Int_Tables_number 1
_cell_length_a 3.4101
_cell_length_b 3.4101
_cell_length_c 3.4101
_cell_angle_alpha 88.83
_cell_angle_beta 88.83
_cell_angle_gamma 88.83
loop_
_symmetry_equiv_pos_as_xyz
'x,y,z'
loop_
_atom_site_label
_atom_site_type_symbol
_atom_site_fract_x
_atom_site_fract_y
_atom_site_fract_z
H1 H 0.6511 0.6511 0.0546
H2 H 0.0546 0.6511 0.6511
H3 H 0.6511 0.0546 0.6511
Li1 Li 0.5402 0.5402 0.5402
Rh1 Rh 0.9780 0.9780 0.9780
```

Computed, not measured: a relaxed Li2H2Rh crystal at the PBE level of DFT.

Calculated values
Its total energy is -39.06 eV/cell. As for the crystal system: orthorhombic.

The structure in CIF format:
```
data_Li2H2Rh
_chemical_formula_sum 'Li4 H4 Rh2'
_symmetry_space_group_name_H-M 'P 1'
_symmetry_Int_Tables_number 1
_cell_length_a 4.9339
_cell_length_b 4.9339
_cell_length_c 5.3977
_cell_angle_alpha 101.19
_cell_angle_beta 101.19
_cell_angle_gamma 125.14
loop_
_symmetry_equiv_pos_as_xyz
'x,y,z'
loop_
_atom_site_label
_atom_site_type_symbol
_atom_site_fract_x
_atom_site_fract_y
_atom_site_fract_z
H1 H 0.1250 0.3750 0.7500
H2 H 0.6250 0.8750 0.2500
H3 H 0.6250 0.3750 0.2500
H4 H 0.6250 0.3750 0.7500
Rh1 Rh 0.5000 0.5000 0.0000
Rh2 Rh 0.7500 0.2500 0.5000
Li1 Li 0.8255 0.1745 0.0000
Li2 Li 0.4245 0.5755 0.5000
Li3 Li 0.1745 0.8255 0.0000
Li4 Li 0.0755 0.9245 0.5000
```

Computed, not measured: a relaxed LiH3Rh crystal at the PBE level of DFT.

Calculated values
Its total energy is -82.02 eV/cell. As for the crystal system: monoclinic.

The structure in CIF format:
```
data_LiH3Rh
_chemical_formula_sum 'Li4 H12 Rh4'
_symmetry_space_group_name_H-M 'P 1'
_symmetry_Int_Tables_number 1
_cell_length_a 15.2516
_cell_length_b 5.3239
_cell_length_c 5.0124
_cell_angle_alpha 90.00
_cell_angle_beta 157.64
_cell_angle_gamma 90.00
loop_
_symmetry_equiv_pos_as_xyz
'x,y,z'
loop_
_atom_site_label
_atom_site_type_symbol
_atom_site_fract_x
_atom_site_fract_y
_atom_site_fract_z
Rh1 Rh 0.4914 0.7420 0.5706
Rh2 Rh 0.0086 0.2420 0.9294
Rh3 Rh 0.9914 0.7580 0.0706
Rh4 Rh 0.5086 0.2580 0.4294
H1 H 0.8302 0.5063 0.4842
H2 H 0.9557 0.0640 0.0999
H3 H 0.9727 0.6274 0.3069
H4 H 0.6698 0.0063 0.0158
H5 H 0.0443 0.9360 0.9001
H6 H 0.5273 0.1274 0.1931
H7 H 0.3302 0.9937 0.9842
H8 H 0.1698 0.4937 0.5158
H9 H 0.4727 0.8726 0.8069
H10 H 0.0273 0.3726 0.6931
H11 H 0.4557 0.4360 0.5999
H12 H 0.5443 0.5640 0.4001
Li1 Li 0.2377 0.1257 0.1026
Li2 Li 0.2623 0.6257 0.3974
Li3 Li 0.7377 0.3743 0.6026
Li4 Li 0.7623 0.8743 0.8974
```

Computed, not measured: a relaxed LiH3Rh crystal at the PBE level of DFT.

Calculated values
Its total energy is -40.97 eV/cell. As for the crystal system: monoclinic.

The structure in CIF format:
```
data_LiH3Rh
_chemical_formula_sum 'Li2 H6 Rh2'
_symmetry_space_group_name_H-M 'P 1'
_symmetry_Int_Tables_number 1
_cell_length_a 11.6680
_cell_length_b 5.2508
_cell_length_c 5.2508
_cell_angle_alpha 146.45
_cell_angle_beta 149.66
_cell_angle_gamma 30.34
loop_
_symmetry_equiv_pos_as_xyz
'x,y,z'
loop_
_atom_site_label
_atom_site_type_symbol
_atom_site_fract_x
_atom_site_fract_y
_atom_site_fract_z
H1 H 0.6007 0.2166 0.7834
H2 H 0.1980 0.7536 0.2464
H3 H 0.3993 0.7834 0.2166
H4 H 0.8020 0.2464 0.7536
H5 H 0.1192 0.5956 0.4044
H6 H 0.8808 0.4044 0.5956
Rh1 Rh 0.8910 0.9849 0.0151
Rh2 Rh 0.1090 0.0151 0.9849
Li1 Li 0.3810 0.9951 0.0049
Li2 Li 0.6190 0.0049 0.9951
```

Computed, not measured: a relaxed Li5H12Rh3 crystal at the PBE level of DFT.

Calculated values
Its total energy is -78.81 eV/cell. As for the crystal system: hexagonal.

The structure in CIF format:
```
data_Li5H12Rh3
_chemical_formula_sum 'Li5 H12 Rh3'
_symmetry_space_group_name_H-M 'P 1'
_symmetry_Int_Tables_number 1
_cell_length_a 2.7921
_cell_length_b 7.9658
_cell_length_c 7.9658
_cell_angle_alpha 120.00
_cell_angle_beta 90.00
_cell_angle_gamma 90.00
loop_
_symmetry_equiv_pos_as_xyz
'x,y,z'
loop_
_atom_site_label
_atom_site_type_symbol
_atom_site_fract_x
_atom_site_fract_y
_atom_site_fract_z
Rh1 Rh 0.5000 0.0000 0.6722
Rh2 Rh 0.5000 0.6722 0.0000
Rh3 Rh 0.5000 0.3278 0.3278
H1 H 0.5000 0.7977 0.2434
H2 H 0.0000 0.0000 0.5377
H3 H 0.0000 0.4623 0.4623
H4 H 0.5000 0.2434 0.7977
H5 H 0.0000 0.8105 0.0000
H6 H 0.0000 0.5377 0.0000
H7 H 0.0000 0.0000 0.8105
H8 H 0.5000 0.7566 0.5542
H9 H 0.5000 0.4458 0.2023
H10 H 0.0000 0.1895 0.1895
H11 H 0.5000 0.2023 0.4458
H12 H 0.5000 0.5542 0.7566
Li1 Li 0.0000 0.7155 0.7155
Li2 Li 0.0000 0.2845 0.0000
Li3 Li 0.0000 0.3333 0.6667
Li4 Li 0.0000 0.6667 0.3333
Li5 Li 0.0000 0.0000 0.2845
```

- Which formula does entry 1 have?
  Li4H4Rh